DFT (PBE) results for SmYSiCl2 after structural relaxation.

```
SmYSiCl2
1.0
-2.490 -1.491 -2.911
3.681 -1.716 0.632
-3.936 -6.062 6.470
Cl Si Sm Y
2 1 1 1
direct
0.333 0.667 0.167
0.667 0.333 0.828
0.000 0.000 0.504
0.667 0.333 0.332
0.333 0.667 0.669
```

Output
total energy: -0.414 Ry/atom

---

DFT (PBE) results for TbTmSiCl2 after structural relaxation.

```
TbTmSiCl2
1.0
4.024 0.000 0.000
-2.012 3.485 0.000
0.000 0.000 9.628
Cl Si Tb Tm
2 1 1 1
direct
0.333 0.667 0.172
0.667 0.333 0.833
0.000 0.000 0.497
0.333 0.667 0.667
0.667 0.333 0.332
```

Output
total energy: -0.382 Ry/atom

---

DFT (PBE) results for TbYSiCl2 after structural relaxation.

```
TbYSiCl2
1.0
-2.106 3.344 0.913
-1.504 -2.686 -2.641
-4.339 -4.716 7.266
Cl Si Tb Y
2 1 1 1
direct
0.333 0.667 0.169
0.667 0.333 0.830
0.000 0.000 0.501
0.667 0.333 0.332
0.333 0.667 0.668
```

Output
total energy: -0.413 Ry/atom

---

DFT (PBE) results for ThSiCl after structural relaxation.

```
ThSiCl
1.0
3.557 -2.054 0.000
3.557 2.054 0.000
-2.408 0.000 10.981
Cl Si Th
2 2 2
direct
0.718 0.718 0.160
0.282 0.282 0.840
0.167 0.167 0.500
0.833 0.833 0.500
0.442 0.442 0.329
0.558 0.558 0.671
```

Output
total energy: -0.454 Ry/atom

---

DFT (PBE) results for Sm2Cl after structural relaxation.

```
Sm2Cl
1.0
1.262 2.371 2.472
-2.133 2.715 1.183
-2.186 -6.003 4.157
Cl Sm
1 2
direct
0.000 0.000 0.000
0.768 0.768 0.305
0.232 0.232 0.695
```

Output
energy above the lowest structure with this stoichiometry: 0.0 meV/atom

---

DFT (PBE) results for Sm2Cl after structural relaxation.

```
Sm2Cl
1.0
0.000 4.631 4.631
4.631 0.000 4.631
4.631 4.631 0.000
Cl Sm
2 4
direct
0.000 0.000 0.000
0.250 0.250 0.250
0.625 0.625 0.125
0.625 0.125 0.625
0.125 0.625 0.625
0.625 0.625 0.625
```

Output
energy above the lowest structure with this stoichiometry: 1044.2 meV/atom

---

DFT (PBE) results for TbSmSnCl2 after structural relaxation.

```
TbSmSnCl2
1.0
-1.981 1.445 3.467
3.160 -2.811 0.378
6.465 7.353 0.630
Cl Sm Sn Tb
2 1 1 1
direct
0.333 0.667 0.164
0.667 0.333 0.840
0.333 0.667 0.686
0.000 0.000 0.496
0.667 0.333 0.313
```

Output
total energy: -0.361 Ry/atom

---

DFT (PBE) results for SmTlCl3 after structural relaxation.

```
SmTlCl3
1.0
-2.419 4.935 4.648
-2.192 -2.539 6.368
6.850 0.366 0.689
Cl Sm Tl
6 2 2
direct
0.816 0.816 0.165
0.836 0.337 0.293
0.337 0.836 0.293
0.663 0.164 0.707
0.164 0.663 0.707
0.184 0.184 0.835
0.000 0.000 0.000
0.000 0.000 0.500
0.343 0.343 0.306
0.657 0.657 0.694
```

Output
total energy: -0.301 Ry/atom

---

- Number 5 is which compound?
  Sm2Cl